(1)
NaCu4Se5: optimized geometry, PBE-GGA.

* raw formation energy: -0.1967 eV/atom

Cell and atoms, written as CIF:
```
data_NaCu4Se5
_chemical_formula_sum 'Na2 Cu8 Se10'
_symmetry_space_group_name_H-M 'P m m n'
_symmetry_Int_Tables_number 59
_cell_length_a 7.3611
_cell_length_b 11.1056
_cell_length_c 5.3016
_cell_angle_alpha 90.00
_cell_angle_beta 90.00
_cell_angle_gamma 90.00
loop_
_symmetry_equiv_pos_as_xyz
'x,y,z'
'-x,-y,-z'
'-x+1/2,-y+1/2,z'
'x+1/2,y+1/2,-z'
'x+1/2,-y,-z'
'-x+1/2,y,z'
'-x,y+1/2,-z'
'x,-y+1/2,z'
loop_
_atom_site_label
_atom_site_type_symbol
_atom_site_fract_x
_atom_site_fract_y
_atom_site_fract_z
Na1 Na 0.2500 0.2500 0.0188
Cu1 Cu 0.0628 0.7500 0.4137
Cu2 Cu 0.2500 0.5416 0.9576
Se1 Se 0.0024 0.5531 0.2808
Se2 Se 0.2500 0.7500 0.7851
```

=====

(2)
NiMoPt14: optimized geometry, PBE-GGA.

* formation enthalpy at 0 K: -0.11 eV per atom

Cell and atoms, written as CIF:
```
data_NiMoPt14
_chemical_formula_sum 'Ni1 Mo1 Pt14'
_symmetry_space_group_name_H-M 'P 4/m m m'
_symmetry_Int_Tables_number 123
_symmetry_space_group_name_Hall '-P 4 2'
_cell_length_a 5.6107
_cell_length_b 5.6107
_cell_length_c 7.8374
_cell_angle_alpha 90.00
_cell_angle_beta 90.00
_cell_angle_gamma 90.00
loop_
_atom_site_label
_atom_site_type_symbol
_atom_site_fract_x
_atom_site_fract_y
_atom_site_fract_z
Ni1 Ni 0.0000 0.0000 0.0000
Mo1 Mo 0.5000 0.5000 0.0000
Pt1 Pt 0.0000 0.0000 0.5000
Pt2 Pt 0.0000 0.5000 0.0000
Pt3 Pt 0.0000 0.5000 0.5000
Pt4 Pt 0.2501 0.2501 0.2419
Pt5 Pt 0.5000 0.5000 0.5000
```

=====

(3)
HfZrInCu: optimized geometry, PBE-GGA.

* formation enthalpy at 0 K: -0.17 eV per atom

Cell and atoms, written as CIF:
```
data_HfZrInCu
_chemical_formula_sum 'Hf1 Zr1 In1 Cu1'
_symmetry_space_group_name_H-M 'P 4 m m'
_symmetry_Int_Tables_number 99
_symmetry_space_group_name_Hall 'P 4 -2'
_cell_length_a 3.1406
_cell_length_b 3.1406
_cell_length_c 7.9350
_cell_angle_alpha 90.00
_cell_angle_beta 90.00
_cell_angle_gamma 90.00
loop_
_atom_site_label
_atom_site_type_symbol
_atom_site_fract_x
_atom_site_fract_y
_atom_site_fract_z
Hf1 Hf 0.0000 0.0000 0.0000
Zr1 Zr 0.0000 0.0000 0.4435
In1 In 0.5000 0.5000 0.7228
Cu1 Cu 0.5000 0.5000 0.2140
```

=====

What did we get for electronic total energy? Answer: -0.13632 -0.23662 -0.23907 Ha/atom, in the order shown.
What did we get for ρ? Answer: 5.149 19.423 9.506 g/cm³, in the order shown.